Compound: CaAl2In
Source: Alexandria via LeMat-Bulk
Functional: PBE
Structure: relaxed

a b c (Å): 3.7434 3.7434 6.8444
angles (deg): 90.00 90.00 90.00
Fractional coordinates of all 4 atoms:
Ca  0.0000  0.0000  0.0000
Al  0.5000  0.5000  0.2988
Al  0.5000  0.5000  0.7012
In  0.0000  0.0000  0.5000

**Crystal system**: tetragonal
**ΔH_f (0 K)**: -0.23 eV per formula unit

---

Compound: NbInTeO6
Source: Alexandria via LeMat-Bulk
Functional: PBE
Structure: relaxed

a b c (Å): 5.4706 5.4706 9.2067
angles (deg): 90.00 90.00 120.00
Fractional coordinates of all 18 atoms:
Nb  0.3333  0.6667  0.2500
Nb  0.6667  0.3333  0.7500
In  0.0000  0.0000  0.0000
In  0.0000  0.0000  0.5000
Te  0.3333  0.6667  0.7500
Te  0.6667  0.3333  0.2500
O  0.0207  0.3535  0.1319
O  0.0207  0.6672  0.3681
O  0.3328  0.3535  0.3681
O  0.3328  0.9793  0.1319
O  0.3535  0.0207  0.6319
O  0.3535  0.3328  0.8681
O  0.6465  0.6672  0.1319
O  0.6465  0.9793  0.3681
O  0.6672  0.0207  0.8681
O  0.6672  0.6465  0.6319
O  0.9793  0.3328  0.6319
O  0.9793  0.6465  0.8681

**Crystal system**: trigonal
**Formation energy from raw total energies**: -1432 kJ/mol of formula units

---

Number 1: D(E_F) 2.81 states/eV/cell. Number 2: D(E_F) 0.00 states/eV/cell.